A plane-wave DFT calculation with GGA-PBEsol was carried out for crystalline KBaP2 at its relaxed geometry.

The excess energy over the best structure of this formula in the dataset is 0.480 eV per atom. The value obtained for the total energy is -3.862 eV/atom. For the formation energy, the calculation gives -14 kJ per mole of atoms.

It has space group Fm-3m (No. 225), with a = 7.593 Å, b = 7.593 Å, c = 7.593 Å, α = 90.00°, β = 90.00° and γ = 90.00°. Symmetry generates all atoms from K at (0.000, 0.000, 0.000), Ba at (0.000, 0.000, 0.500) and P at (0.250, 0.250, 0.250).